# HPtRhBr2

An optimized crystal structure of HPtRhBr2 (PBE, the Alexandria database).

As for the symmetry: P4/mmm (123). The calculation puts the density of states at the Fermi level at 5.1 states/eV/f.u. As for the crystal system: tetragonal. Its total energy is -3.25 eV/atom.

abc: 4.8802 4.8802 3.4310
angles: 90.00 90.00 90.00
Sites, in units of the cell vectors:
H  0.0000  0.0000  0.0000
Pt  0.0000  0.0000  0.5000
Rh  0.5000  0.5000  0.5000
Br  0.0000  0.5000  0.0000
Br  0.5000  0.0000  0.0000